This record from Alexandria describes a relaxed structure of NaScS2. The functional is PBE.

Cell and atoms, written as POSCAR:
```
NaScS2
1.0
3.748 0.000 0.000
-1.874 3.246 0.000
0.003 2.164 6.803
Na Sc S
1 1 2
Direct
0.158 0.493 0.169
0.327 0.833 0.660
0.731 0.641 0.448
0.923 0.024 0.874
```

Calculated values
Calculated density (g cm⁻³): 2.65
Formation energy (no corrections) (eV per atom): -1.7164
Density of states at the Fermi level (states/eV/cell): 0.0
Size of the total moment (μB per cell): 0.00



This record from Alexandria describes a relaxed structure of NaScS2. The functional is PBE.

Cell and atoms, written as POSCAR:
```
NaScS2
1.0
7.251 0.000 0.000
0.000 3.691 0.000
0.000 0.000 13.985
S Sc Na
8 4 4
Direct
0.777 0.750 0.016
0.723 0.250 0.516
0.277 0.750 0.484
0.420 0.250 0.713
0.223 0.250 0.984
0.080 0.750 0.213
0.920 0.250 0.787
0.580 0.750 0.287
0.529 0.750 0.610
0.971 0.250 0.110
0.471 0.250 0.390
0.029 0.750 0.890
0.586 0.250 0.889
0.914 0.750 0.389
0.414 0.750 0.111
0.086 0.250 0.611
```

Calculated values
Calculated density (g cm⁻³): 2.34
Formation energy (no corrections) (eV per atom): -1.5581
Density of states at the Fermi level (states/eV/cell): 0.0
Size of the total moment (μB per cell): 0.00



This record from Alexandria describes a relaxed structure of NaScS2. The functional is PBE.

Cell and atoms, written as POSCAR:
```
NaScS2
1.0
-14.427 -6.502 1.495
-2.721 -2.287 -6.751
5.425 -5.352 -0.373
S Na Sc
16 8 8
Direct
0.968 0.773 0.101
0.529 0.103 0.272
0.750 0.680 0.692
0.750 0.192 0.180
0.471 0.897 0.728
0.032 0.227 0.899
0.750 0.192 0.692
0.250 0.320 0.820
0.532 0.601 0.273
0.250 0.808 0.820
0.750 0.680 0.180
0.468 0.399 0.727
0.029 0.228 0.397
0.971 0.772 0.603
0.250 0.320 0.308
0.250 0.808 0.308
0.871 0.343 0.027
0.130 0.656 0.473
0.370 0.973 0.156
0.371 0.473 0.157
0.629 0.527 0.843
0.129 0.657 0.973
0.630 0.027 0.844
0.870 0.344 0.527
0.360 0.733 0.647
0.640 0.771 0.353
0.860 0.853 0.271
0.860 0.853 0.767
0.640 0.267 0.353
0.140 0.147 0.233
0.140 0.147 0.729
0.360 0.229 0.647
```

Calculated values
Calculated density (g cm⁻³): 2.21
Formation energy (no corrections) (eV per atom): -1.5295
Density of states at the Fermi level (states/eV/cell): 0.0
Size of the total moment (μB per cell): 0.00



This record from Alexandria describes a relaxed structure of Na3ScS. The functional is PBE.

Cell and atoms, written as POSCAR:
```
Na3ScS
1.0
5.946 0.000 0.000
0.000 5.946 0.000
0.000 0.000 5.946
Na S Sc
3 1 1
Direct
0.000 0.500 0.000
0.500 0.000 0.000
0.000 0.000 0.500
0.500 0.500 0.500
0.000 0.000 0.000
```

Calculated values
Energy above the most stable polymorph in this dataset (meV per atom): 922.8
Calculated density (g cm⁻³): 1.15
Formation energy (no corrections) (eV per atom): 0.9119
Density of states at the Fermi level (states/eV/cell): 4.4
Size of the total moment (μB per cell): 1.96



This record from Alexandria describes a relaxed structure of NaSc2S3. The functional is PBE.

Cell and atoms, written as POSCAR:
```
NaSc2S3
1.0
-1.504 0.950 -3.268
-2.194 -0.757 2.908
0.469 18.836 5.260
S Na Sc
6 2 4
Direct
0.333 0.667 0.152
0.667 0.333 0.848
0.000 0.000 0.500
0.000 0.000 0.000
0.333 0.667 0.348
0.667 0.333 0.652
0.000 0.000 0.250
0.000 0.000 0.750
0.333 0.667 0.579
0.333 0.667 0.921
0.667 0.333 0.079
0.667 0.333 0.421
```

Calculated values
Calculated density (g cm⁻³): 2.96
Formation energy (no corrections) (eV per atom): -1.7829
Density of states at the Fermi level (states/eV/cell): 3.9
Size of the total moment (μB per cell): 0.00



This record from Alexandria describes a relaxed structure of NaSc2S. The functional is PBE.

Cell and atoms, written as POSCAR:
```
NaSc2S
1.0
-6.715 6.921 4.644
-5.729 5.035 7.509
-3.709 7.752 6.380
Sc Na S
2 1 1
Direct
0.927 0.927 0.927
0.073 0.073 0.073
0.500 0.500 0.500
0.000 0.000 0.000
```

Calculated values
Calculated density (g cm⁻³): 2.08
Formation energy (no corrections) (eV per atom): -0.0715
Density of states at the Fermi level (states/eV/cell): 7.6
Size of the total moment (μB per cell): 0.00